# Be2ReTc, relaxed, DFT PBE
# Offset from the most stable computed form, eV/atom: 0.402
# Symmetry: R-3m
# Total magnetic moment, μB per formula unit: 0.00
data_Be2ReTc
_space_group_name_H-M_alt 'P 1'
_space_group_IT_number 1
_cell_length_a 8.152
_cell_length_b 8.152
_cell_length_c 8.152
_cell_angle_alpha 18.90
_cell_angle_beta 18.90
_cell_angle_gamma 18.90
loop_
_space_group_symop_operation_xyz
'x,y,z'
loop_
_atom_site_label
_atom_site_type_symbol
_atom_site_fract_x
_atom_site_fract_y
_atom_site_fract_z
_atom_site_occupancy
Re1 Re 0.750 0.750 0.750 1
Tc1 Tc 0.250 0.250 0.250 1
Be1 Be 0.000 0.000 0.000 1
Be2 Be 0.500 0.500 0.500 1